DFT (PBE-GGA) results for a geometry-optimized KNaMnRh2 structure.

Structure (extended XYZ):
```
5
Lattice="-4.373 2.163 0.447 -1.736 -2.754 -3.661 -1.438 -3.609 3.397" Properties=species:S:1:pos:R:3 pbc="T T T"
Na -3.774 -2.100 0.091
K 0.000 0.000 0.000
Mn -0.719 -1.805 1.698
Rh -0.868 -1.377 -1.830
Rh -2.186 1.082 0.223
```

## Properties
The total DFT energy (no corrections) is -17.16 eV for the cell shown. Its formation energy is 1.8259 eV/atom. The magnetic moment is 5.2 Bohr magnetons per cell.